Sr2BiBr | SCAN | single point on PBEsol structure

Lattice parameters (Å, degrees): 8.0259 8.0259 8.0259 90.00 90.00 90.00
With the nearest neighbours (Å) after each atom.
Sites, in units of the cell vectors:
Sr 0.2500 0.2500 0.2500  4 Bi 3.48, 4 Br 3.48
Sr 0.2500 0.2500 0.7500  4 Bi 3.48, 4 Br 3.48
Sr 0.2500 0.7500 0.2500  4 Bi 3.48, 4 Br 3.48
Sr 0.2500 0.7500 0.7500  4 Bi 3.48, 4 Br 3.48
Sr 0.7500 0.2500 0.2500  4 Bi 3.48, 4 Br 3.48
Sr 0.7500 0.2500 0.7500  4 Bi 3.48, 4 Br 3.48
Sr 0.7500 0.7500 0.2500  4 Bi 3.48, 4 Br 3.48
Sr 0.7500 0.7500 0.7500  4 Br 3.48, 4 Bi 3.48
Bi 0.0000 0.0000 0.0000  8 Sr 3.48
Bi 0.0000 0.5000 0.5000  8 Sr 3.48
Bi 0.5000 0.0000 0.5000  8 Sr 3.48
Bi 0.5000 0.5000 0.0000  8 Sr 3.48
Br 0.0000 0.0000 0.5000  8 Sr 3.48
Br 0.0000 0.5000 0.0000  8 Sr 3.48
Br 0.5000 0.0000 0.0000  8 Sr 3.48
Br 0.5000 0.5000 0.5000  8 Sr 3.48

Summary:
ΔE_f (raw) = -5.66 eV/f.u.
VASP energy = -37.06 eV per atom